{
  "formula": "Fe2Ni3Rh",
  "functional": "PBE-GGA",
  "state": "optimized geometry",
  "mass_density_g_cm3": 9.07,
  "e_tot_ev_per_atom": -6.99,
  "n_ef_per_ev_cell": 10.8,
  "delta_e_f_ev_per_fu": -0.3,
  "lattice_angstrom": [[-0.5259, 1.2503, -3.3518], [2.7724, -6.1607, -2.7344], [-6.0798, 0.2410, 2.9975]],
  "species": ["Fe", "Fe", "Fe", "Fe", "Ni", "Ni", "Ni", "Ni", "Ni", "Ni", "Rh", "Rh"],
  "frac_coords": [[0.3327, 0.3327, 0.6655], [0.6673, 0.1673, 0.3345], [0.3327, 0.8327, 0.6655], [0.6673, 0.6673, 0.3345], [0.5000, 0.2500, 0.0000], [0.5000, 0.7500, 0.0000], [0.8308, 0.0807, 0.6615], [0.1692, 0.4192, 0.3385], [0.1692, 0.9193, 0.3385], [0.8308, 0.5808, 0.6615], [0.0000, 0.5000, 0.0000], [0.0000, 0.0000, 0.0000]]
}

{
  "formula": "FeNi2Rh9",
  "functional": "PBE-GGA",
  "state": "optimized geometry",
  "mass_density_g_cm3": 11.10,
  "e_tot_ev_per_atom": -7.16,
  "n_ef_per_ev_cell": 19.2,
  "delta_e_f_ev_per_fu": 0.2,
  "lattice_angstrom": [[-2.2362, -2.8755, 1.0863], [2.1651, -2.4271, -1.9675], [6.5334, -1.6131, 9.1793]],
  "species": ["Fe", "Ni", "Ni", "Rh", "Rh", "Rh", "Rh", "Rh", "Rh", "Rh", "Rh", "Rh"],
  "frac_coords": [[0.0000, 0.0000, 0.0000], [0.0000, 0.0000, 0.3361], [0.0000, 0.0000, 0.6639], [0.5000, 0.5000, 0.0000], [0.5000, 0.5000, 0.3334], [0.5000, 0.5000, 0.6666], [0.5000, 0.0000, 0.1676], [0.5000, 0.0000, 0.5000], [0.5000, 0.0000, 0.8324], [0.0000, 0.5000, 0.1676], [0.0000, 0.5000, 0.5000], [0.0000, 0.5000, 0.8324]]
}

{
  "formula": "Fe8Ni6Rh",
  "functional": "PBE-GGA",
  "state": "optimized geometry",
  "mass_density_g_cm3": 8.09,
  "e_tot_ev_per_atom": -7.16,
  "n_ef_per_ev_cell": 11.9,
  "delta_e_f_ev_per_fu": 2.3,
  "lattice_angstrom": [[-2.3111, 2.1464, 5.5138], [-6.2223, -0.4100, 1.2106], [-2.1076, -4.1998, 4.4105]],
  "species": ["Fe", "Fe", "Fe", "Fe", "Fe", "Fe", "Fe", "Fe", "Ni", "Ni", "Ni", "Ni", "Ni", "Ni", "Rh"],
  "frac_coords": [[0.6216, 0.1324, 0.3807], [0.8676, 0.1348, 0.6193], [0.1348, 0.3784, 0.6193], [0.7437, 0.7437, 0.7690], [0.2563, 0.2563, 0.2310], [0.8652, 0.6216, 0.3807], [0.1324, 0.8652, 0.3807], [0.3784, 0.8676, 0.6193], [0.3974, 0.1382, 0.8509], [0.8618, 0.3865, 0.1491], [0.3865, 0.6026, 0.1491], [0.6135, 0.3974, 0.8509], [0.1382, 0.6135, 0.8509], [0.6026, 0.8618, 0.1491], [0.0000, 0.0000, 0.0000]]
}

{
  "formula": "Fe5NiRh6",
  "functional": "PBE-GGA",
  "state": "optimized geometry",
  "mass_density_g_cm3": 9.99,
  "e_tot_ev_per_atom": -7.70,
  "n_ef_per_ev_cell": 19.2,
  "delta_e_f_ev_per_fu": -0.1,
  "lattice_angstrom": [[3.8485, 0.0000, 0.0129], [1.9243, 5.7902, 0.0064], [-0.0238, 0.0000, 7.1266]],
  "species": ["Ni", "Rh", "Rh", "Rh", "Rh", "Rh", "Rh", "Fe", "Fe", "Fe", "Fe", "Fe"],
  "frac_coords": [[0.0000, 0.0000, 0.0000], [0.8337, 0.3326, 0.2433], [0.8337, 0.3326, 0.7567], [0.5000, 0.0000, 0.7444], [0.5000, 0.0000, 0.2556], [0.1663, 0.6674, 0.2433], [0.1663, 0.6674, 0.7567], [0.6708, 0.6585, 0.5000], [0.3411, 0.3178, 0.0000], [0.0000, 0.0000, 0.5000], [0.6589, 0.6822, 0.0000], [0.3292, 0.3415, 0.5000]]
}

{
  "formula": "FeNi2Rh2",
  "functional": "PBE-GGA",
  "state": "optimized geometry",
  "mass_density_g_cm3": 9.31,
  "e_tot_ev_per_atom": -6.68,
  "n_ef_per_ev_cell": 15.9,
  "delta_e_f_ev_per_fu": 1.3,
  "lattice_angstrom": [[-3.8611, 5.9204, -0.2229], [-3.7458, -2.6455, -5.3832], [-1.7541, -1.0781, 1.7504]],
  "species": ["Ni", "Ni", "Ni", "Ni", "Rh", "Rh", "Rh", "Rh", "Fe", "Fe"],
  "frac_coords": [[0.1657, 0.6657, 0.5000], [0.6657, 0.8343, 0.5000], [0.8343, 0.3343, 0.5000], [0.3343, 0.1657, 0.5000], [0.3663, 0.8663, 0.0000], [0.8663, 0.6337, 0.0000], [0.6337, 0.1337, 0.0000], [0.1337, 0.3663, 0.0000], [0.0000, 0.0000, 0.0000], [0.5000, 0.5000, 0.0000]]
}

{
  "formula": "FeNiRh2",
  "functional": "PBE-GGA",
  "state": "optimized geometry",
  "mass_density_g_cm3": 9.94,
  "e_tot_ev_per_atom": -7.10,
  "n_ef_per_ev_cell": 7.1,
  "delta_e_f_ev_per_fu": 0.6,
  "lattice_angstrom": [[5.0877, 0.0722, 0.1375], [2.3008, 4.5383, -0.1375], [-3.1093, -3.2426, 2.3929]],
  "species": ["Fe", "Ni", "Rh", "Rh"],
  "frac_coords": [[0.7500, 0.2500, 0.5000], [0.2500, 0.7500, 0.5000], [0.9950, 0.9950, 0.0000], [0.5050, 0.5050, 0.0000]]
}

{
  "formula": "Fe6NiRh5",
  "functional": "PBE-GGA",
  "state": "optimized geometry",
  "mass_density_g_cm3": 9.69,
  "e_tot_ev_per_atom": -7.79,
  "n_ef_per_ev_cell": 18.7,
  "delta_e_f_ev_per_fu": -0.1,
  "lattice_angstrom": [[0.6609, 3.7088, 0.4201], [1.8242, 0.4643, -6.9681], [-6.6587, -0.9692, 1.9306]],
  "species": ["Ni", "Rh", "Rh", "Rh", "Rh", "Rh", "Fe", "Fe", "Fe", "Fe", "Fe", "Fe"],
  "frac_coords": [[0.0000, 0.0000, 0.0000], [0.6618, 0.1618, 0.3237], [0.3325, 0.3325, 0.6650], [0.0000, 0.5000, 0.0000], [0.6675, 0.6675, 0.3350], [0.3382, 0.8382, 0.6763], [0.8358, 0.5884, 0.6716], [0.8358, 0.0832, 0.6716], [0.5000, 0.7544, 0.0000], [0.5000, 0.2456, 0.0000], [0.1642, 0.9168, 0.3284], [0.1642, 0.4116, 0.3284]]
}

{
  "formula": "Fe5Ni4Rh2",
  "functional": "PBE-GGA",
  "state": "optimized geometry",
  "mass_density_g_cm3": 8.83,
  "e_tot_ev_per_atom": -7.23,
  "n_ef_per_ev_cell": 23.0,
  "delta_e_f_ev_per_fu": 0.6,
  "lattice_angstrom": [[-2.1812, -1.4246, 0.0247], [0.5590, -0.9602, -6.0156], [9.1631, -13.9755, 3.0823]],
  "species": ["Fe", "Fe", "Fe", "Fe", "Fe", "Fe", "Fe", "Fe", "Fe", "Fe", "Ni", "Ni", "Ni", "Ni", "Ni", "Ni", "Ni", "Ni", "Rh", "Rh", "Rh", "Rh"],
  "frac_coords": [[0.0000, 0.5000, 0.0000], [0.0000, 0.0000, 0.5000], [0.0000, 0.1787, 0.1657], [0.0000, 0.8213, 0.8343], [0.0000, 0.6787, 0.3343], [0.0000, 0.3213, 0.6657], [0.0000, 0.3348, 0.4162], [0.0000, 0.6652, 0.5838], [0.0000, 0.8348, 0.0838], [0.0000, 0.1652, 0.9162], [0.5000, 0.3328, 0.5418], [0.5000, 0.6672, 0.4582], [0.5000, 0.8328, 0.9582], [0.5000, 0.1672, 0.0418], [0.5000, 0.4912, 0.8703], [0.5000, 0.5088, 0.1297], [0.5000, 0.9912, 0.6297], [0.5000, 0.0088, 0.3703], [0.5000, 0.3488, 0.2809], [0.5000, 0.6512, 0.7191], [0.5000, 0.8488, 0.2191], [0.5000, 0.1512, 0.7809]]
}

> Number 1 is which compound?

Fe2Ni3Rh